{
  "formula": "Y2InH2",
  "functional": "GGA-PBE",
  "state": "optimized geometry",
  "lattice_angstrom": [[3.734, 0.000, 0.000], [0.000, 3.734, 0.000], [1.867, 1.867, 6.290]],
  "species": ["Y", "Y", "In", "H", "H"],
  "frac_coords": [[0.349, 0.349, 0.303], [0.651, 0.651, 0.697], [0.000, 0.000, 0.000], [0.750, 0.250, 0.500], [0.250, 0.750, 0.500]],
  "dos_at_fermi_per_ev_fu": 1.68,
  "total_energy_ev_per_atom": -5.14,
  "total_magnetization_mub_per_fu": 0.00
}